A plane-wave DFT calculation with PBE was carried out for crystalline PrGdBi at its relaxed geometry.

Values from the calculation:
Magnetic moment, Bohr magnetons per cell: 7.59
SG: P3m1 (156)
Calculated formation energy, eV/atom: -0.33
Density of states at the Fermi level, states/eV per cell: 4.43

Cell lengths 4.1062, 5.3036, 5.3036 Å; angles 120.00, 90.00, 90.00 degrees
Each line ends with the local moment (μB).
Atoms (fractional coordinates):
Pr  0.7019  0.3333  0.6667  0.07
Gd  0.2358  0.6667  0.3333  7.16
Bi  0.0623  0.0000  0.0000  -0.04